Entry 1:
A plane-wave DFT calculation with PBE was carried out for crystalline Ce2GaSb4 at its relaxed geometry.

The structure belongs to space group Fmmm (No. 69); the cell edges are 8.835, 9.384 and 9.426 Å and the angles 90.00°, 90.00° and 90.00°. The inequivalent atoms are Ce at (0.000, 0.250, 0.250), Ga at (0.000, 0.000, 0.000), Sb at (0.250, 0.000, 0.250) and Sb at (0.250, 0.250, 0.000).

The calculation puts the formation energy without anion corrections at -4.30 eV per formula unit. The value obtained for the excess energy over the best structure of this formula in the dataset is 0.0351 eV/atom.



Entry 2:
A plane-wave DFT calculation with PBE was carried out for crystalline Ce7Ga5Sb at its relaxed geometry.

The structure belongs to space group Imm2 (No. 44); the cell edges are 5.979, 10.558 and 10.537 Å and the angles 90.00°, 90.00° and 90.00°. The inequivalent atoms are Ce at (0.000, 0.000, 0.000), Ce at (0.000, 0.000, 0.378), Ce at (0.000, 0.312, 0.674), Ce at (0.000, 0.335, 0.139), Ce at (0.000, 0.500, 0.343), Ga at (0.000, 0.500, 0.896), Ga at (0.235, 0.254, 0.413) and Sb at (0.000, 0.000, 0.681).

The calculation puts the formation energy without anion corrections at -5.05 eV per formula unit.



Entry 3:
A plane-wave DFT calculation with PBE was carried out for crystalline Ce2GaSb4 at its relaxed geometry.

The structure belongs to space group P-4m2 (No. 115); the cell edges are 4.451, 4.451 and 9.825 Å and the angles 90.00°, 90.00° and 90.00°. The inequivalent atoms are Ce at (0.000, 0.500, 0.250), Ga at (0.000, 0.000, 0.500), Sb at (0.000, 0.000, 0.000), Sb at (0.000, 0.500, 0.666) and Sb at (0.500, 0.500, 0.000).

The calculation puts the formation energy without anion corrections at -4.55 eV per formula unit. The value obtained for the excess energy over the best structure of this formula in the dataset is 0.0000 eV/atom.



Entry 4:
A plane-wave DFT calculation with PBE was carried out for crystalline Ce3GaSb3 at its relaxed geometry.

The structure belongs to space group P6_3/m (No. 176); the cell edges are 9.0938, 9.0938 and 6.1664 Å and the angles 90.00°, 90.00° and 120.00°. The inequivalent atoms are Ce at (0.0926, 0.6792, 0.2500), Ga at (0.3333, 0.6667, 0.7500) and Sb at (0.0719, 0.7338, 0.7500).

The calculation puts the formation energy without anion corrections at -4.34 eV per formula unit.



| no. | electronic total energy (eV/atom) | DOS at the Fermi energy (states/eV per cell) |
| --- | --- | --- |
| 1 | -5.098 | 33.54 |
| 2 | -5.065 | 62.51 |
| 3 | -5.133 | 10.76 |
| 4 | -5.362 | 37.40 |